Entry 1:
Material: Mg2Be2ZnRh5
Method: DFT, PBE
State: optimized geometry

Output
space-group type	P4/mbm
energy relative to the elements	-491	meV per atom
E_tot	-5.358	eV per atom

Cell: 3.040 9.438 9.438 Å, 90.00 90.00 90.00°
Element x y z (fractional)
Mg 0.000 0.675 0.175
Mg 0.000 0.325 0.825
Mg 0.000 0.175 0.325
Mg 0.000 0.825 0.675
Be 0.000 0.126 0.626
Be 0.000 0.874 0.374
Be 0.000 0.626 0.874
Be 0.000 0.374 0.126
Zn 0.000 0.000 0.000
Zn 0.000 0.500 0.500
Rh 0.500 0.209 0.069
Rh 0.500 0.791 0.931
Rh 0.500 0.069 0.791
Rh 0.500 0.709 0.431
Rh 0.500 0.931 0.209
Rh 0.500 0.291 0.569
Rh 0.500 0.569 0.709
Rh 0.500 0.431 0.291
Rh 0.500 0.500 0.000
Rh 0.500 0.000 0.500

---

Entry 2:
Material: Mg2BeZnRh
Method: DFT, PBE
State: optimized geometry

Output
space-group type	P4/mmm
energy relative to the elements	409	meV per atom
E_tot	-2.700	eV per atom

Cell: 4.546 4.083 4.546 Å, 90.00 90.00 90.00°
Element x y z (fractional)
Be 0.000 0.000 0.000
Zn 0.000 0.500 0.000
Rh 0.500 0.500 0.500
Mg 0.000 0.000 0.500
Mg 0.500 0.000 0.000

---

Entry 3:
Material: MgZrBeRh
Method: DFT, PBE
State: optimized geometry

Output
space-group type	F-43m
energy relative to the elements	-317	meV per atom
E_tot	-5.622	eV per atom

Cell: 4.495 4.495 4.495 Å, 60.00 60.00 60.00°
Element x y z (fractional)
Be 0.000 0.000 0.000
Mg 0.250 0.250 0.250
Rh 0.500 0.500 0.500
Zr 0.750 0.750 0.750

---

Entry 4:
Material: Mg2BeRu4
Method: DFT, PBE
State: optimized geometry

Output
space-group type	I4/mmm
energy relative to the elements	548	meV per atom
E_tot	-5.741	eV per atom

Cell: 4.073 4.073 7.271 Å, 73.74 73.74 90.00°
Element x y z (fractional)
Ru 0.842 0.842 0.315
Ru 0.158 0.158 0.685
Ru 0.000 0.500 0.000
Ru 0.500 0.000 0.000
Mg 0.643 0.643 0.715
Mg 0.357 0.357 0.285
Be 0.000 0.000 0.000

---

Entry 5:
Material: MgBeRu
Method: DFT, PBE
State: optimized geometry

Output
space-group type	Cmcm
energy relative to the elements	-71	meV per atom
E_tot	-4.937	eV per atom
energy above the lowest structure with this stoichiometry	0.100	eV per formula unit

Cell: 3.162 3.206 9.075 Å, 79.83 90.00 90.00°
Element x y z (fractional)
Ru 0.250 0.936 0.128
Ru 0.750 0.064 0.872
Mg 0.250 0.317 0.365
Mg 0.750 0.683 0.635
Be 0.250 0.542 0.915
Be 0.750 0.458 0.085

---

Entry 6:
Material: MgBeRu3
Method: DFT, PBE
State: optimized geometry

Output
space-group type	Pm-3m
energy relative to the elements	426	meV per atom
E_tot	-6.204	eV per atom
energy above the lowest structure with this stoichiometry	0.000	eV per formula unit

Cell: 4.166 4.166 4.166 Å, 90.00 90.00 90.00°
Element x y z (fractional)
Ru 0.000 0.500 0.000
Ru 0.000 0.000 0.500
Ru 0.500 0.000 0.000
Mg 0.500 0.500 0.500
Be 0.000 0.000 0.000

---

Entry 7:
Material: MgBe2Ru2
Method: DFT, PBE
State: optimized geometry

Output
space-group type	I4/mmm
energy relative to the elements	110	meV per atom
E_tot	-5.410	eV per atom
energy above the lowest structure with this stoichiometry	2.094	eV per formula unit

Cell: 4.120 4.120 4.997 Å, 65.66 65.66 90.00°
Element x y z (fractional)
Ru 0.353 0.353 0.294
Ru 0.647 0.647 0.706
Mg 0.000 0.000 0.000
Be 0.750 0.250 0.500
Be 0.250 0.750 0.500

---

Entry 8:
Material: MgBeRu
Method: DFT, PBE
State: optimized geometry

Output
space-group type	I4mm
energy relative to the elements	-105	meV per atom
E_tot	-4.970	eV per atom
energy above the lowest structure with this stoichiometry	0.000	eV per formula unit

Cell: 4.993 4.993 4.993 Å, 144.52 144.52 51.06°
Element x y z (fractional)
Ru 0.628 0.628 0.000
Mg 0.329 0.329 0.000
Be 0.044 0.044 0.000